Entry from Alexandria via LeMat-Bulk: FeP2PdO after structural relaxation (PBE with a Hubbard U).

Cell: 4.7873 4.7873 3.8082 Å, 90.00 90.00 90.00°
Last column: nearest neighbours and their distance in Å.
Element x y z (fractional)
O 0.0000 0.0000 0.5000  2 Pd 1.90
P 0.0000 0.5000 0.0000  2 Pd 2.39
P 0.5000 0.0000 0.0000  2 Pd 2.39
Fe 0.5000 0.5000 0.5000  8 P 3.06, 4 O 3.39
Pd 0.0000 0.0000 0.0000  2 O 1.90

Summary:
**M_tot**: 4.1 μB per formula unit
**Symmetry**: P4/mmm, No. 123
**E_tot**: -22.97 eV/f.u.
**Offset from the most stable computed form**: 180.2 kJ/mol of formula units